# 1
PBE Ca2Cu3Sn5, optimized geometry; E_form = -0.273 eV per atom; symmetry = Cmc2_1
1.0
-0.417 -4.292 1.041
6.930 -1.112 -1.813
4.127 4.978 12.722
Ca Cu Sn
4 6 10
Direct
0.476 0.753 0.953 Ca
0.168 0.748 0.337 Ca
0.832 0.248 0.663 Ca
0.524 0.253 0.047 Ca
0.782 0.725 0.565 Cu
0.608 0.503 0.216 Cu
0.043 0.968 0.086 Cu
0.218 0.225 0.435 Cu
0.957 0.468 0.914 Cu
0.392 0.003 0.784 Cu
0.410 0.379 0.819 Sn
0.285 0.518 0.570 Sn
0.715 0.018 0.430 Sn
0.118 0.242 0.236 Sn
0.296 0.947 0.593 Sn
0.950 0.082 0.899 Sn
0.704 0.447 0.407 Sn
0.882 0.742 0.764 Sn
0.050 0.582 0.101 Sn
0.590 0.879 0.181 Sn

---

# 2
PBE SbAsSI2, optimized geometry; energy relative to the elements, uncorrected = 77.8 kJ/mol of atoms; symmetry = P4/mmm
1.0
5.302 0.000 0.000
0.000 5.302 0.000
0.000 0.000 5.761
I Sb As S
2 1 1 1
Direct
0.000 0.500 0.000 I
0.500 0.000 0.000 I
0.000 0.000 0.500 Sb
0.500 0.500 0.500 As
0.000 0.000 0.000 S

---

# 3
PBE Ce6GePt, optimized geometry; E_form = -0.399 eV per atom; symmetry = P-1
1.0
-3.208 -7.680 -2.619
1.390 -4.140 3.375
-3.441 -2.632 3.376
Ce Ge Pt
6 1 1
Direct
0.107 0.584 0.638 Ce
0.750 0.875 0.751 Ce
0.618 0.155 0.129 Ce
0.250 0.125 0.249 Ce
0.893 0.416 0.362 Ce
0.382 0.845 0.871 Ce
0.500 0.500 0.500 Ge
0.000 0.000 0.000 Pt

---

# 4
PBE La2Pm3UN6, optimized geometry; energy relative to the elements, uncorrected = -138.8 kJ/mol of atoms; symmetry = C2/m
1.0
6.290 -0.003 0.000
-3.146 5.447 0.000
-1.049 -1.817 5.856
La Pm U N
2 3 1 6
Direct
0.333 0.667 0.000 La
0.667 0.333 0.000 La
0.164 0.836 0.500 Pm
0.836 0.164 0.500 Pm
0.500 0.500 0.500 Pm
0.000 0.000 0.000 U
0.922 0.629 0.767 N
0.781 0.781 0.237 N
0.078 0.371 0.233 N
0.629 0.922 0.767 N
0.219 0.219 0.763 N
0.371 0.078 0.233 N

---

# 5
PBE Ac7PmSm2, optimized geometry; E_form = 0.607 eV per atom; symmetry = Cmmm
1.0
6.089 0.000 0.000
0.000 9.561 1.515
0.000 2.936 9.225
Ac Pm Sm
7 1 2
Direct
0.000 0.243 0.243 Ac
0.000 0.757 0.757 Ac
0.500 0.939 0.309 Ac
0.500 0.061 0.691 Ac
0.500 0.691 0.061 Ac
0.500 0.309 0.939 Ac
0.500 0.500 0.500 Ac
0.000 0.000 0.000 Pm
0.500 0.299 0.299 Sm
0.500 0.701 0.701 Sm

---

# 6
PBE ZrTlCu, optimized geometry; E_form = 1.267 eV per atom; symmetry = P6_3/mmc
1.0
-1.142 -0.528 -4.046
-2.668 -1.074 3.112
-4.376 10.480 -0.133
Tl Cu Zr
2 2 2
Direct
0.000 0.000 0.250 Tl
0.000 0.000 0.750 Tl
0.333 0.667 0.250 Cu
0.667 0.333 0.750 Cu
0.000 0.000 0.000 Zr
0.000 0.000 0.500 Zr

---

# 7
PBE Mg2NpPd9, optimized geometry; E_form = -0.471 eV per atom; symmetry = P4/mmm
1.0
4.064 0.000 0.000
0.000 4.064 0.000
0.000 0.000 11.876
Mg Np Pd
2 1 9
Direct
0.000 0.000 0.341 Mg
0.000 0.000 0.659 Mg
0.000 0.000 0.000 Np
0.500 0.500 0.000 Pd
0.500 0.500 0.337 Pd
0.500 0.500 0.663 Pd
0.500 0.000 0.171 Pd
0.500 0.000 0.500 Pd
0.500 0.000 0.829 Pd
0.000 0.500 0.171 Pd
0.000 0.500 0.500 Pd
0.000 0.500 0.829 Pd

---

# 8
PBE Tb2DyTmSe6, optimized geometry; energy relative to the elements, uncorrected = -178.5 kJ/mol of atoms; symmetry = R3
1.0
-5.594 0.799 4.460
1.042 -0.028 7.123
-0.678 6.676 3.763
Tb Dy Tm Se
2 1 1 6
Direct
0.516 0.515 0.454 Tb
0.015 0.015 0.956 Tb
0.818 0.818 0.545 Dy
0.320 0.319 0.041 Tm
0.605 0.218 0.252 Se
0.218 0.924 0.252 Se
0.924 0.605 0.252 Se
0.419 0.716 0.754 Se
0.717 0.110 0.754 Se
0.110 0.419 0.754 Se